# Mo2RuCl

A relaxed structure of Mo2RuCl (GGA-PBE, Alexandria via LeMat-Bulk).

CIF file:
```
data_Mo2RuCl
_chemical_formula_sum 'Mo4 Ru2 Cl2'
_cell_length_a 3.735
_cell_length_b 3.735
_cell_length_c 8.811
_cell_angle_alpha 90.00
_cell_angle_beta 90.00
_cell_angle_gamma 90.00
_symmetry_space_group_name_H-M 'I 4/m m m'
_symmetry_Int_Tables_number 139
_symmetry_space_group_name_Hall '-I 4 2'
loop_
_atom_site_label
_atom_site_type_symbol
_atom_site_fract_x
_atom_site_fract_y
_atom_site_fract_z
Mo1 Mo 0.000 0.500 0.250
Ru1 Ru 0.000 0.000 0.000
Cl1 Cl 0.000 0.000 0.500
```

## Properties
DOS(E_F): 7.09 states/eV/cell
volume: 15.364 Å³/atom
energy relative to the lowest polymorph listed for this composition: 693 meV/atom
ΔE_f (raw): 0.91 eV per atom


# La4BiPCl2

A relaxed structure of La4BiPCl2 (GGA-PBE, Alexandria via LeMat-Bulk).

CIF file:
```
data_La4BiPCl2
_chemical_formula_sum 'La4 Bi1 P1 Cl2'
_cell_length_a 7.375
_cell_length_b 4.359
_cell_length_c 7.795
_cell_angle_alpha 90.00
_cell_angle_beta 109.93
_cell_angle_gamma 90.00
_symmetry_space_group_name_H-M 'P 1 2/m 1'
_symmetry_Int_Tables_number 10
loop_
_symmetry_equiv_pos_as_xyz
'x,y,z'
'-x,-y,-z'
'-x,y,-z'
'x,-y,z'
loop_
_atom_site_label
_atom_site_type_symbol
_atom_site_fract_x
_atom_site_fract_y
_atom_site_fract_z
La1 La 0.233 0.000 0.216
La2 La 0.252 0.500 0.787
Bi1 Bi 0.000 0.000 0.500
P1 P 0.000 0.500 0.000
Cl1 Cl 0.500 0.000 0.000
Cl2 Cl 0.500 0.500 0.500
```

## Properties
DOS(E_F): 3.18 states/eV/cell
volume: 29.442 Å³/atom
ΔE_f (raw): -1.49 eV per atom